(1)
DFT (PBE) results for a geometry-optimized AcAlSb2 structure.

Output
- Formation energy from raw total energies: -0.246 eV/atom
- DOS at the Fermi energy: 0.94 states/eV per atom
- Calculated density: 7.0 Mg/m³
- Calculated total energy: -4.2699 eV/atom

Unit cell a=7.804 b=7.804 c=7.804 alpha=90.00 beta=90.00 gamma=90.00
Space group Fm-3m (No. 225)
Unique sites:
1 Ac 0.000 0.000 0.000
2 Al 0.000 0.000 0.500
3 Sb 0.250 0.250 0.250

---

(2)
DFT (PBE) results for a geometry-optimized CoNiW2 structure.

Output
- DOS at the Fermi energy: 0.84 states/eV per atom
- ΔE_f: 0.05 eV/atom
- Calculated density: 15.1 Mg/m³
- Calculated total energy: -9.6520 eV/atom

Unit cell a=2.666 b=3.748 c=5.339 alpha=90.00 beta=90.30 gamma=90.00
Space group P2/m (No. 10)
Unique sites:
1 Co 0.000 0.000 0.000
2 Ni 0.000 0.000 0.500
3 W 0.500 0.500 0.247

---

no.,distance to the lowest polymorph of the same formula (eV/atom)
1,0.213
2,0.006